VASP calculation (GGA+U) on an optimized crystal structure of VAs3F.

- Fermi-level density of states (states/eV/f.u.) = 4.475
- crystal system = cubic
- ρ (g/cm3) = 5.312
- magnetic moment (μB per atom) = 0.4881
- relative energy among the computed polymorphs (eV/atom) = 0.2085

a b c (Å): 4.5163 4.5163 4.5163
angles (deg): 90.00 90.00 90.00
Each line ends with the local moment (μB).
Sites, in units of the cell vectors:
V 0.5000 0.5000 0.5000  2.68
As 0.0000 0.5000 0.0000  -0.11
As 0.5000 0.0000 0.0000  -0.11
As 0.0000 0.0000 0.5000  -0.11
F 0.0000 0.0000 0.0000  -0.03